Entry from the Alexandria database: K2RbHoV2O8 after structural relaxation (PBE+U). Values from VASP.

Structure (Quantum ESPRESSO input):
```
&SYSTEM
  ibrav = 0, nat = 14, ntyp = 5
/
ATOMIC_SPECIES
K 39.10 K.upf
Rb 85.47 Rb.upf
Ho 164.93 Ho.upf
V 50.94 V.upf
O 16.00 O.upf
ATOMIC_POSITIONS angstrom
K 0.000 3.471 1.528
K 3.006 1.736 6.254
Rb 0.000 0.000 3.891
Ho 0.000 0.000 0.000
V 0.000 3.471 5.838
V 3.006 1.736 1.945
O 0.000 1.815 6.451
O -1.434 4.300 6.451
O 0.000 3.471 4.154
O 1.572 0.908 1.332
O 1.434 4.300 6.451
O 3.006 1.736 3.629
O 4.441 0.908 1.332
O 3.006 3.392 1.332
CELL_PARAMETERS angstrom
6.013 0.000 0.000
-3.006 5.207 0.000
0.000 0.000 7.783
```

**DFT total energy**: -6.7927 eV/atom
**Symmetry**: P-3m1